Entry 1:
First-principles (GGA-PBE) data for a relaxed structure of CuRe2Pt, as listed in Alexandria.

Cell: 4.698 4.698 2.670 Å, 90.00 90.00 90.00°
Fractional positions:
Pt (0.000, 0.500, 0.500)
Re (0.500, 0.500, 0.000)
Re (0.000, 0.000, 0.000)
Cu (0.500, 0.000, 0.500)

## Properties
For the energy above the most stable polymorph in this dataset, the calculation gives 433.5 meV per atom. The calculation puts the density of states at the Fermi level at 1.079 states/eV per atom. The total DFT energy (no corrections) is -33.2 eV per formula unit.

---

Entry 2:
First-principles (GGA-PBE) data for a relaxed structure of CuRe4Pt, as listed in Alexandria.

Cell: 5.152 5.152 5.152 Å, 60.00 60.00 60.00°
Fractional positions:
Re (0.375, 0.375, 0.375)
Re (0.875, 0.375, 0.375)
Re (0.375, 0.875, 0.375)
Cu (0.750, 0.750, 0.750)
Re (0.375, 0.375, 0.875)
Pt (0.000, 0.000, 0.000)

## Properties
The calculation puts the density of states at the Fermi level at 1.018 states/eV per atom. The total DFT energy (no corrections) is -56.2 eV per formula unit.